1.
BePt5: relaxed, PBE-GGA.

distance to the lowest polymorph of the same formula: 0 meV per atom
crystal system: orthorhombic

a = 10.8619 Å, b = 3.9126 Å, c = 8.2109 Å
α = 90.00°, β = 90.00°, γ = 90.00°
With the nearest neighbours (Å) after each atom.
Sites, in units of the cell vectors:
1 Be 0.0764 0.2500 0.1129  8 Pt 2.45-2.71
2 Be 0.4236 0.7500 0.6129  8 Pt 2.45-2.71
3 Be 0.5764 0.2500 0.3871  8 Pt 2.45-2.71
4 Be 0.9236 0.7500 0.8871  8 Pt 2.45-2.71
5 Pt 0.0370 0.2500 0.7869  3 Be 2.45-2.71, 3 Pt 2.72-2.73
6 Pt 0.0681 0.2500 0.4198  1 Be 2.52, 7 Pt 2.72-2.82
7 Pt 0.1535 0.7500 0.9613  3 Be 2.47-2.57, 3 Pt 2.71-2.73
8 Pt 0.1887 0.7500 0.6086  1 Be 2.55, 6 Pt 2.67-2.82
9 Pt 0.2080 0.7500 0.2836  10 Pt 2.67-2.87, 2 Be 2.80
10 Pt 0.2920 0.2500 0.7836  10 Pt 2.67-2.87, 2 Be 2.80
11 Pt 0.3113 0.2500 0.1086  1 Be 2.55, 6 Pt 2.67-2.82
12 Pt 0.3465 0.2500 0.4613  3 Be 2.47-2.57, 3 Pt 2.71-2.73
13 Pt 0.4319 0.7500 0.9198  1 Be 2.52, 7 Pt 2.72-2.82
14 Pt 0.4630 0.7500 0.2869  3 Be 2.45-2.71, 3 Pt 2.72-2.73
15 Pt 0.5370 0.2500 0.7131  3 Be 2.45-2.71, 3 Pt 2.72-2.73
16 Pt 0.5681 0.2500 0.0802  1 Be 2.52, 7 Pt 2.72-2.82
17 Pt 0.6535 0.7500 0.5387  3 Be 2.47-2.57, 3 Pt 2.71-2.73
18 Pt 0.6887 0.7500 0.8914  1 Be 2.55, 6 Pt 2.67-2.82
19 Pt 0.7080 0.7500 0.2164  10 Pt 2.67-2.87, 2 Be 2.80
20 Pt 0.7920 0.2500 0.7164  10 Pt 2.67-2.87, 2 Be 2.80
21 Pt 0.8113 0.2500 0.3914  1 Be 2.55, 6 Pt 2.67-2.82
22 Pt 0.8465 0.2500 0.0387  3 Be 2.47-2.57, 3 Pt 2.71-2.73
23 Pt 0.9319 0.7500 0.5802  1 Be 2.52, 7 Pt 2.72-2.82
24 Pt 0.9630 0.7500 0.2131  3 Be 2.45-2.71, 3 Pt 2.72-2.73

***

2.
BeFeNiB: relaxed, PBE-GGA.

distance to the lowest polymorph of the same formula: 0 meV per atom
crystal system: cubic

a = 3.5887 Å, b = 3.5887 Å, c = 3.5887 Å
α = 60.00°, β = 60.00°, γ = 60.00°
With the nearest neighbours (Å) after each atom.
Sites, in units of the cell vectors:
1 Be 0.0000 0.0000 0.0000  4 Fe 2.20, 4 Ni 2.20
2 Fe 0.2500 0.2500 0.2500  4 B 2.20, 4 Be 2.20
3 Ni 0.7500 0.7500 0.7500  4 Be 2.20, 4 B 2.20
4 B 0.5000 0.5000 0.5000  4 Ni 2.20, 4 Fe 2.20

***

3.
YB4Au: relaxed, PBE-GGA.

distance to the lowest polymorph of the same formula: 0 meV per atom
crystal system: orthorhombic

a = 5.1027 Å, b = 5.1027 Å, c = 5.1027 Å
α = 143.36°, β = 118.12°, γ = 74.12°
With the nearest neighbours (Å) after each atom.
Sites, in units of the cell vectors:
1 Y 0.0000 0.0000 0.0000  12 B 2.66-2.74
2 B 0.0447 0.7306 0.3141  3 B 1.77-1.95
3 B 0.4165 0.7306 0.6859  3 B 1.77-1.95
4 B 0.5835 0.2694 0.3141  3 B 1.77-1.95
5 B 0.9553 0.2694 0.6859  3 B 1.77-1.95
6 Au 0.5000 0.5000 0.0000  4 B 2.50

***

4.
DyErSn2Os2: relaxed, PBE-GGA.

calculated total energy: -6.942 eV per atom
crystal system: tetragonal

a = 4.5076 Å, b = 4.5076 Å, c = 6.7489 Å
α = 90.00°, β = 90.00°, γ = 90.00°
With the nearest neighbours (Å) after each atom.
Sites, in units of the cell vectors:
1 Dy 0.0000 0.0000 0.0000  4 Os 2.96, 5 Sn 3.21-3.26
2 Er 0.5000 0.5000 0.4346  4 Os 2.94, 4 Sn 3.20
3 Sn 0.0000 0.0000 0.4838  4 Os 2.74
4 Sn 0.5000 0.5000 0.9464  4 Os 2.74
5 Os 0.0000 0.5000 0.7147  4 Sn 2.74, 2 Er 2.94, 2 Dy 2.96
6 Os 0.5000 0.0000 0.7147  4 Sn 2.74, 2 Er 2.94, 2 Dy 2.96

***

5.
Tb2YIn3Ni2Ag: relaxed, PBE-GGA.

calculated total energy: -4.680 eV per atom
crystal system: orthorhombic

a = 3.8289 Å, b = 7.6608 Å, c = 7.6608 Å
α = 120.07°, β = 90.00°, γ = 90.00°
With the nearest neighbours (Å) after each atom.
Sites, in units of the cell vectors:
1 Tb 0.0000 0.2054 0.7946  4 Ni 3.00, 2 In 3.09, 1 Ag 3.15
2 Tb 0.0000 0.7946 0.2054  4 Ni 3.00, 2 In 3.09, 1 Ag 3.15
3 Y 0.0000 0.6158 0.6158  4 Ni 3.01, 6 In 3.08-3.36, 1 Ag 3.14
4 In 0.5000 0.2060 0.4790  2 Ni 2.81, 2 Ag 2.84, 2 Tb 3.09
5 In 0.5000 0.4790 0.2060  2 Ni 2.81, 2 Ag 2.84, 2 Tb 3.09
6 In 0.5000 0.9317 0.9317  2 Ni 2.81, 2 Ag 2.84, 2 Y 3.08
7 Ni 0.5000 0.5390 0.8732  3 In 2.81, 4 Tb 3.00, 2 Y 3.01
8 Ni 0.5000 0.8732 0.5390  3 In 2.81, 4 Tb 3.00, 2 Y 3.01
9 Ag 0.0000 0.2055 0.2055  6 In 2.84, 1 Y 3.14, 2 Tb 3.15

***

6.
PrGa2: relaxed, PBE-GGA.

calculated total energy: -4.305 eV per atom
crystal system: hexagonal

a = 4.3014 Å, b = 4.3014 Å, c = 4.3088 Å
α = 90.00°, β = 90.00°, γ = 120.00°
With the nearest neighbours (Å) after each atom.
Sites, in units of the cell vectors:
1 Pr 0.0000 0.0000 0.0000  12 Ga 3.29
2 Ga 0.3333 0.6667 0.5000  3 Ga 2.48
3 Ga 0.6667 0.3333 0.5000  3 Ga 2.48

***

7.
BeHgPO: relaxed, PBE-GGA.

distance to the lowest polymorph of the same formula: 877 meV per atom
crystal system: tetragonal

a = 3.8638 Å, b = 3.8638 Å, c = 8.3260 Å
α = 90.00°, β = 90.00°, γ = 90.00°
With the nearest neighbours (Å) after each atom.
Sites, in units of the cell vectors:
1 Be 0.2500 0.7500 0.0000  4 P 2.24
2 Be 0.7500 0.2500 0.0000  4 P 2.24
3 Hg 0.2500 0.2500 0.3610  4 O 2.25
4 Hg 0.7500 0.7500 0.6390  4 O 2.25
5 P 0.2500 0.2500 0.8627  4 Be 2.24
6 P 0.7500 0.7500 0.1373  4 Be 2.24
7 O 0.2500 0.7500 0.5000  4 Hg 2.25
8 O 0.7500 0.2500 0.5000  4 Hg 2.25

***

8.
HoFeSi2Pd: relaxed, PBE-GGA.

calculated total energy: -6.551 eV per atom
crystal system: tetragonal

a = 5.7099 Å, b = 5.7099 Å, c = 5.7099 Å
α = 139.12°, β = 139.12°, γ = 59.19°
With the nearest neighbours (Å) after each atom.
Sites, in units of the cell vectors:
1 Ho 0.0000 0.0000 0.0000  8 Si 3.06, 4 Pd 3.18, 4 Fe 3.18
2 Fe 0.7500 0.2500 0.5000  4 Si 2.37
3 Si 0.3791 0.3791 0.0000  2 Fe 2.37, 2 Pd 2.37, 1 Si 2.40
4 Si 0.6209 0.6209 0.0000  2 Fe 2.37, 2 Pd 2.37, 1 Si 2.40
5 Pd 0.2500 0.7500 0.5000  4 Si 2.37

***

Copy entry 3 word for word.
YB4Au: relaxed, PBE-GGA.

distance to the lowest polymorph of the same formula: 0 meV per atom
crystal system: orthorhombic

a = 5.1027 Å, b = 5.1027 Å, c = 5.1027 Å
α = 143.36°, β = 118.12°, γ = 74.12°
With the nearest neighbours (Å) after each atom.
Sites, in units of the cell vectors:
1 Y 0.0000 0.0000 0.0000  12 B 2.66-2.74
2 B 0.0447 0.7306 0.3141  3 B 1.77-1.95
3 B 0.4165 0.7306 0.6859  3 B 1.77-1.95
4 B 0.5835 0.2694 0.3141  3 B 1.77-1.95
5 B 0.9553 0.2694 0.6859  3 B 1.77-1.95
6 Au 0.5000 0.5000 0.0000  4 B 2.50